--- w ---
Y2HoLu | PBE-GGA | optimized geometry

N(E_F)	1.581	states/eV/atom
crystal system	trigonal

a = 3.4689 Å, b = 3.4689 Å, c = 37.0092 Å
α = 90.00°, β = 90.00°, γ = 120.00°
Space group R-3m (No. 166, hexagonal axes)
Asymmetric unit:
Y  0.0000  0.0000  0.0895
Ho  0.0000  0.0000  0.5000
Lu  0.0000  0.0000  0.0000

--- x ---
Y2HoLu | PBE-GGA | optimized geometry

N(E_F)	1.510	states/eV/atom
crystal system	tetragonal

a = 4.996 Å, b = 4.996 Å, c = 4.998 Å
α = 90.00°, β = 90.00°, γ = 90.00°
Space group P4/mmm (No. 123)
Asymmetric unit:
Y  0.000  0.500  0.000
Ho  0.000  0.000  0.500
Lu  0.500  0.500  0.500

Least stable: w

--- w ---
Y2HoLu | PBE-GGA | optimized geometry

N(E_F)	1.389	states/eV/atom
crystal system	tetragonal

a = 3.532 Å, b = 3.532 Å, c = 10.002 Å
α = 90.00°, β = 90.00°, γ = 90.00°
Space group P4/mmm (No. 123)
Asymmetric unit:
Y  0.000  0.000  0.248
Ho  0.500  0.500  0.500
Lu  0.500  0.500  0.000

--- x ---
Y2HoLu | PBE-GGA | optimized geometry

N(E_F)	2.585	states/eV/atom
crystal system	cubic

a = 7.980 Å, b = 7.980 Å, c = 7.980 Å
α = 90.00°, β = 90.00°, γ = 90.00°
Space group Fm-3m (No. 225)
Asymmetric unit:
Y  0.250  0.250  0.250
Ho  0.000  0.000  0.000
Lu  0.000  0.000  0.500

Least stable: x

--- w ---
Ho2LuZn | PBE-GGA | optimized geometry

N(E_F)	0.987	states/eV/atom
crystal system	tetragonal

a = 3.531 Å, b = 3.531 Å, c = 8.486 Å
α = 90.00°, β = 90.00°, γ = 90.00°
Space group P4/mmm (No. 123)
Asymmetric unit:
Ho  0.000  0.000  0.209
Lu  0.500  0.500  0.500
Zn  0.500  0.500  0.000

--- x ---
Ho2LuZn | PBE-GGA | optimized geometry

N(E_F)	0.962	states/eV/atom
crystal system	cubic

a = 7.454 Å, b = 7.454 Å, c = 7.454 Å
α = 90.00°, β = 90.00°, γ = 90.00°
Space group Fm-3m (No. 225)
Asymmetric unit:
Ho  0.250  0.250  0.250
Lu  0.000  0.000  0.000
Zn  0.000  0.000  0.500

Least stable: x

--- w ---
Ho2LuZn | PBE-GGA | optimized geometry

N(E_F)	1.160	states/eV/atom
crystal system	tetragonal

a = 5.206 Å, b = 5.206 Å, c = 3.861 Å
α = 90.00°, β = 90.00°, γ = 90.00°
Space group P4/mmm (No. 123)
Asymmetric unit:
Ho  0.000  0.500  0.000
Lu  0.000  0.000  0.500
Zn  0.500  0.500  0.500

--- x ---
Ho2LuZn | PBE-GGA | optimized geometry

N(E_F)	0.721	states/eV/atom
crystal system	trigonal

a = 3.4112 Å, b = 3.4112 Å, c = 34.9419 Å
α = 90.00°, β = 90.00°, γ = 120.00°
Space group R-3m (No. 166, hexagonal axes)
Asymmetric unit:
Ho  0.0000  0.0000  0.0873
Lu  0.0000  0.0000  0.5000
Zn  0.0000  0.0000  0.0000

Least stable: x

--- w ---
HoLuZn2 | PBE-GGA | optimized geometry

N(E_F)	0.859	states/eV/atom
crystal system	tetragonal

a = 4.964 Å, b = 4.964 Å, c = 3.554 Å
α = 90.00°, β = 90.00°, γ = 90.00°
Space group P4/mmm (No. 123)
Asymmetric unit:
Ho  0.000  0.000  0.000
Lu  0.500  0.500  0.000
Zn  0.000  0.500  0.500

--- x ---
HoLuZn2 | PBE-GGA | optimized geometry

N(E_F)	0.758	states/eV/atom
crystal system	cubic

a = 7.049 Å, b = 7.049 Å, c = 7.049 Å
α = 90.00°, β = 90.00°, γ = 90.00°
Space group Fm-3m (No. 225)
Asymmetric unit:
Ho  0.000  0.000  0.000
Lu  0.000  0.000  0.500
Zn  0.250  0.250  0.250

Least stable: w

--- w ---
HoLu2Zn | PBE-GGA | optimized geometry

N(E_F)	1.233	states/eV/atom
crystal system	tetragonal

a = 4.671 Å, b = 4.671 Å, c = 4.675 Å
α = 90.00°, β = 90.00°, γ = 90.00°
Space group P4/mmm (No. 123)
Asymmetric unit:
Ho  0.000  0.000  0.000
Lu  0.000  0.500  0.500
Zn  0.500  0.500  0.000

--- x ---
HoLu2Zn | PBE-GGA | optimized geometry

N(E_F)	1.000	states/eV/atom
crystal system	tetragonal

a = 3.492 Å, b = 3.492 Å, c = 8.500 Å
α = 90.00°, β = 90.00°, γ = 90.00°
Space group P4/mmm (No. 123)
Asymmetric unit:
Ho  0.000  0.000  0.000
Lu  0.500  0.500  0.295
Zn  0.000  0.000  0.500

Least stable: w